Density functional theory data (GGA-PBE) for a relaxed OsRh2 crystal.

Output
* ΔE_f: 0.02 eV/atom
* excess energy over the best structure of this formula in the dataset: 0.000 eV/atom
* SG: No. 63
* DFT total energy: -8.63 eV/atom
* total magnetization: 0.00 μB/f.u.
* ρ: 15430 kg/m3

a = 7.2513 Å, b = 7.2513 Å, c = 4.3759 Å
α = 90.00°, β = 90.00°, γ = 158.26°
Last column: nearest neighbours and their distance in Å.
Fractional positions:
Os (0.2216, 0.7784, 0.7500)  6 Rh 2.68-2.73, 6 Os 2.70-2.74
Os (0.7784, 0.2216, 0.2500)  6 Rh 2.68-2.73, 6 Os 2.70-2.74
Rh (0.1126, 0.8874, 0.2500)  4 Os 2.68-2.73, 8 Rh 2.70-2.79
Rh (0.4423, 0.5577, 0.2500)  10 Rh 2.70-2.79, 2 Os 2.70
Rh (0.5577, 0.4423, 0.7500)  10 Rh 2.70-2.79, 2 Os 2.70
Rh (0.8874, 0.1126, 0.7500)  4 Os 2.68-2.73, 8 Rh 2.70-2.79

=====

Density functional theory data (GGA-PBE) for a relaxed BeCrSi2 crystal.

Output
* SG: No. 35
* DFT total energy: -5.81 eV/atom
* total magnetization: 0.00 μB/f.u.
* ρ: 4131 kg/m3

a = 2.5400 Å, b = 2.5400 Å, c = 7.3890 Å
α = 90.00°, β = 90.00°, γ = 98.86°
Last column: nearest neighbours and their distance in Å.
Fractional positions:
Be (0.0000, 0.0000, 0.0000)  4 Cr 2.34-2.54, 4 Si 2.37-2.57, 4 Be 2.54
Cr (0.5000, 0.5000, 0.7760)  4 Be 2.34-2.54, 2 Si 2.45, 4 Cr 2.54
Si (0.0000, 0.0000, 0.5306)  4 Cr 2.45-2.65, 4 Si 2.54
Si (0.5000, 0.5000, 0.2294)  4 Be 2.37-2.57, 4 Si 2.54